An optimized crystal structure of TaSbTe2H. Source: Alexandria, functional GGA-PBE.

Structure (POSCAR):
```
TaSbTe2H
1.0
5.204 0.000 0.000
0.000 5.204 0.000
0.000 0.000 3.727
Te Ta Sb H
2 1 1 1
Cartesian
0.000 2.602 0.000
2.602 0.000 0.000
2.602 2.602 1.864
0.000 0.000 1.864
0.000 0.000 0.000
```

Values from the calculation:
energy above the lowest structure with this stoichiometry	0.256	eV per atom
calculated volume	101	Å³/f.u.
raw total energy	-22.2	eV/cell

An optimized crystal structure of Ti2ZnAu3. Source: Alexandria, functional GGA-PBE.

Structure (POSCAR):
```
Ti2ZnAu3
1.0
-3.616 -2.601 1.040
3.700 -1.888 -1.916
4.314 -1.912 10.219
Au Ti Zn
6 4 2
Cartesian
3.076 -2.930 3.367
5.260 -3.898 8.539
4.778 -2.365 0.637
-0.380 -4.036 8.706
-0.861 -2.504 0.804
1.323 -3.472 5.976
2.157 -0.956 5.109
2.014 -2.459 0.851
0.000 0.000 0.000
2.385 -3.943 8.492
4.148 -3.405 5.906
0.250 -2.996 3.437
```

Values from the calculation:
ΔE_f	-0.330	eV/atom
calculated volume	102	Å³/f.u.
raw total energy	-57.7	eV/cell